This record from Alexandria via LeMat-Bulk describes a relaxed CaTcBr2 crystal. The functional is PBE-GGA.

```
8
Lattice="5.090 0.000 0.000 0.000 5.090 0.000 2.545 2.545 8.494" Properties=species:S:1:pos:R:3 pbc="T T T"
Br 3.817 3.640 6.370
Br 6.362 6.539 6.370
Br 3.994 1.272 2.123
Tc 5.090 2.545 4.247
Tc 0.000 0.000 0.000
Br 1.096 3.817 2.123
Ca 2.545 5.090 4.247
Ca 2.545 2.545 0.000
```

E_form (uncorrected)	-128	meV per atom
spin magnetization	6.0	Bohr magnetons per cell
E above lowest polymorph	235.3	meV/atom

=====

This record from Alexandria via LeMat-Bulk describes a relaxed Pr2SmH crystal. The functional is PBE-GGA.

```
4
Lattice="-1.504 -1.999 -2.750 -1.096 -3.497 0.628 -8.982 1.122 1.583" Properties=species:S:1:pos:R:3 pbc="T T T"
H -1.733 -3.664 -1.415
Pr -7.641 0.634 1.205
Pr -2.223 -1.338 -0.325
Sm -5.775 -2.193 -0.274
```

spin magnetization	0.0	Bohr magnetons per cell
E above lowest polymorph	7.0	meV/atom